#one
LiPrZn | GGA-PBE | relaxed

a b c (Å): 6.799 6.799 6.799
angles (deg): 90.00 90.00 90.00
Space group F-43m (No. 216)
Unique sites:
Li  0.000  0.000  0.000 [4 per cell]
Pr  0.000  0.000  0.500 [4 per cell]
Zn  0.250  0.250  0.250 [4 per cell]

***

#two
LiPrZn | GGA-PBE | relaxed

a b c (Å): 6.888 6.888 6.888
angles (deg): 90.00 90.00 90.00
Space group F-43m (No. 216)
Unique sites:
Li  0.000  0.000  0.000 [4 per cell]
Pr  0.250  0.250  0.750 [4 per cell]
Zn  0.000  0.000  0.500 [4 per cell]

***

Result of the stability comparison: #one is the most stable of them.

***

#one
SrLiSbPt | GGA-PBE | relaxed

a b c (Å): 6.997 6.997 6.997
angles (deg): 90.00 90.00 90.00
Space group F-43m (No. 216)
Unique sites:
Sr  0.000  0.000  0.000 [4 per cell]
Li  0.250  0.250  0.750 [4 per cell]
Sb  0.250  0.250  0.250 [4 per cell]
Pt  0.000  0.000  0.500 [4 per cell]

***

#two
SrLiSbPt | GGA-PBE | relaxed

a b c (Å): 7.210 7.210 7.210
angles (deg): 90.00 90.00 90.00
Space group F-43m (No. 216)
Unique sites:
Sr  0.000  0.000  0.000 [4 per cell]
Li  0.000  0.000  0.500 [4 per cell]
Sb  0.250  0.250  0.250 [4 per cell]
Pt  0.250  0.250  0.750 [4 per cell]

***

#three
SrLiSbPt | GGA-PBE | relaxed

a b c (Å): 6.981 6.981 6.981
angles (deg): 90.00 90.00 90.00
Space group F-43m (No. 216)
Unique sites:
Sr  0.000  0.000  0.000 [4 per cell]
Li  0.250  0.250  0.750 [4 per cell]
Sb  0.000  0.000  0.500 [4 per cell]
Pt  0.250  0.250  0.250 [4 per cell]

***

Result of the stability comparison: #three is the most stable of them.

***

#one
LiScSiPt | GGA-PBE | relaxed

a b c (Å): 6.173 6.173 6.173
angles (deg): 90.00 90.00 90.00
Space group F-43m (No. 216)
Unique sites:
Li  0.000  0.000  0.000 [4 per cell]
Sc  0.250  0.250  0.750 [4 per cell]
Si  0.000  0.000  0.500 [4 per cell]
Pt  0.250  0.250  0.250 [4 per cell]

***

#two
LiScSiPt | GGA-PBE | relaxed

a b c (Å): 6.198 6.198 6.198
angles (deg): 90.00 90.00 90.00
Space group F-43m (No. 216)
Unique sites:
Li  0.000  0.000  0.000 [4 per cell]
Sc  0.250  0.250  0.750 [4 per cell]
Si  0.250  0.250  0.250 [4 per cell]
Pt  0.000  0.000  0.500 [4 per cell]

***

Result of the stability comparison: #two is the most stable of them.

***

#one
LiScSiPt | GGA-PBE | relaxed

a b c (Å): 6.316 6.316 6.316
angles (deg): 90.00 90.00 90.00
Space group F-43m (No. 216)
Unique sites:
Li  0.000  0.000  0.000 [4 per cell]
Sc  0.000  0.000  0.500 [4 per cell]
Si  0.250  0.250  0.250 [4 per cell]
Pt  0.250  0.250  0.750 [4 per cell]

***

#two
LiScSiPt | GGA-PBE | relaxed

a b c (Å): 6.199 6.199 6.199
angles (deg): 90.00 90.00 90.00
Space group F-43m (No. 216)
Unique sites:
Li  0.000  0.000  0.000 [4 per cell]
Sc  0.250  0.250  0.250 [4 per cell]
Si  0.250  0.250  0.750 [4 per cell]
Pt  0.000  0.000  0.500 [4 per cell]

***

Result of the stability comparison: #two is the most stable of them.

***

#one
LiScSnPt | GGA-PBE | relaxed

a b c (Å): 6.608 6.608 6.608
angles (deg): 90.00 90.00 90.00
Space group F-43m (No. 216)
Unique sites:
Li  0.000  0.000  0.000 [4 per cell]
Sc  0.000  0.000  0.500 [4 per cell]
Sn  0.250  0.250  0.250 [4 per cell]
Pt  0.250  0.250  0.750 [4 per cell]

***

#two
LiScSnPt | GGA-PBE | relaxed

a b c (Å): 6.543 6.543 6.543
angles (deg): 90.00 90.00 90.00
Space group F-43m (No. 216)
Unique sites:
Li  0.000  0.000  0.000 [4 per cell]
Sc  0.250  0.250  0.750 [4 per cell]
Sn  0.000  0.000  0.500 [4 per cell]
Pt  0.250  0.250  0.250 [4 per cell]

***

Result of the stability comparison: #one is the most stable of them.

***

#one
Li4SiPt3 | GGA-PBE | relaxed

a b c (Å): 6.9381 6.9381 16.4131
angles (deg): 90.00 90.00 120.00
Space group R32 (No. 155, hexagonal axes)
Unique sites:
Li  0.0000  0.0000  0.2247 [6 per cell]
Li  0.0225  0.2613  0.9186 [18 per cell]
Si  0.0000  0.0000  0.3992 [6 per cell]
Pt  0.0000  0.6085  0.0000 [9 per cell]
Pt  0.0000  0.7344  0.5000 [9 per cell]

***

#two
Li4SiPt3 | GGA-PBE | relaxed

a b c (Å): 4.874 4.874 9.709
angles (deg): 90.00 90.00 90.00
Space group I4/mmm (No. 139)
Unique sites:
Li  0.000  0.000  0.247 [4 per cell]
Li  0.000  0.500  0.000 [4 per cell]
Si  0.000  0.000  0.500 [2 per cell]
Pt  0.000  0.000  0.000 [2 per cell]
Pt  0.000  0.500  0.250 [4 per cell]

***

Result of the stability comparison: #one is the most stable of them.

***

#one
SrLiPt | GGA-PBE | relaxed

a b c (Å): 4.282 4.282 7.377
angles (deg): 90.00 90.00 90.00
Space group P4/nmm (No. 129, origin choice 2)
Unique sites:
Sr  0.250  0.250  0.166 [2 per cell]
Li  0.250  0.750  0.500 [2 per cell]
Pt  0.250  0.250  0.721 [2 per cell]

***

#two
SrLiPt | GGA-PBE | relaxed

a b c (Å): 6.860 6.860 6.860
angles (deg): 90.00 90.00 90.00
Space group F-43m (No. 216)
Unique sites:
Sr  0.000  0.000  0.000 [4 per cell]
Li  0.000  0.000  0.500 [4 per cell]
Pt  0.250  0.250  0.750 [4 per cell]

***

Result of the stability comparison: #one is the most stable of them.

***

#one
SrLiTaPt | GGA-PBE | relaxed

a b c (Å): 6.672 6.672 6.672
angles (deg): 90.00 90.00 90.00
Space group F-43m (No. 216)
Unique sites:
Sr  0.000  0.000  0.000 [4 per cell]
Li  0.250  0.250  0.250 [4 per cell]
Ta  0.250  0.250  0.750 [4 per cell]
Pt  0.000  0.000  0.500 [4 per cell]

***

#two
SrLiTaPt | GGA-PBE | relaxed

a b c (Å): 6.873 6.873 6.873
angles (deg): 90.00 90.00 90.00
Space group F-43m (No. 216)
Unique sites:
Sr  0.000  0.000  0.000 [4 per cell]
Li  0.250  0.250  0.250 [4 per cell]
Ta  0.000  0.000  0.500 [4 per cell]
Pt  0.250  0.250  0.750 [4 per cell]

***

Result of the stability comparison: #one is the most stable of them.

***

#one
LiTaZnPt | GGA-PBE | relaxed

a b c (Å): 6.169 6.169 6.169
angles (deg): 90.00 90.00 90.00
Space group F-43m (No. 216)
Unique sites:
Li  0.000  0.000  0.000 [4 per cell]
Ta  0.250  0.250  0.250 [4 per cell]
Zn  0.250  0.250  0.750 [4 per cell]
Pt  0.000  0.000  0.500 [4 per cell]

***

#two
LiTaZnPt | GGA-PBE | relaxed

a b c (Å): 6.116 6.116 6.116
angles (deg): 90.00 90.00 90.00
Space group F-43m (No. 216)
Unique sites:
Li  0.000  0.000  0.000 [4 per cell]
Ta  0.250  0.250  0.250 [4 per cell]
Zn  0.000  0.000  0.500 [4 per cell]
Pt  0.250  0.250  0.750 [4 per cell]

***

Result of the stability comparison: #one is the most stable of them.

***

#one
LiTmPt | GGA-PBE | relaxed

a b c (Å): 6.441 6.441 6.441
angles (deg): 90.00 90.00 90.00
Space group F-43m (No. 216)
Unique sites:
Li  0.000  0.000  0.000 [4 per cell]
Tm  0.250  0.250  0.250 [4 per cell]
Pt  0.000  0.000  0.500 [4 per cell]

***

#two
LiTmPt | GGA-PBE | relaxed

a b c (Å): 6.083 6.083 6.083
angles (deg): 90.00 90.00 90.00
Space group F-43m (No. 216)
Unique sites:
Li  0.000  0.000  0.000 [4 per cell]
Tm  0.250  0.250  0.250 [4 per cell]
Pt  0.250  0.250  0.750 [4 per cell]

***

Result of the stability comparison: #two is the most stable of them.

***

#one
LiY2Pt | GGA-PBE | relaxed

a b c (Å): 6.888 6.888 6.888
angles (deg): 90.00 90.00 90.00
Space group F-43m (No. 216)
Unique sites:
Li  0.000  0.000  0.000 [4 per cell]
Y  0.000  0.000  0.500 [4 per cell]
Y  0.250  0.250  0.750 [4 per cell]
Pt  0.250  0.250  0.250 [4 per cell]

***

#two
LiY2Pt | GGA-PBE | relaxed

a b c (Å): 4.1689 4.1689 13.0734
angles (deg): 90.00 90.00 120.00
Space group P6_3/mmc (No. 194)
Unique sites:
Li  0.3333  0.6667  0.2500 [2 per cell]
Y  0.3333  0.6667  0.6103 [4 per cell]
Pt  0.0000  0.0000  0.2500 [2 per cell]

***

Result of the stability comparison: #two is the most stable of them.

***

#one
LiY2Pt | GGA-PBE | relaxed

a b c (Å): 4.1139 4.1139 15.7880
angles (deg): 90.00 90.00 120.00
Space group P6_3/mmc (No. 194)
Unique sites:
Li  0.3333  0.6667  0.2500 [2 per cell]
Y  0.3333  0.6667  0.5938 [4 per cell]
Pt  0.0000  0.0000  0.0000 [2 per cell]

***

#two
LiY2Pt | GGA-PBE | relaxed

a b c (Å): 5.0625 5.0625 8.4673
angles (deg): 90.00 90.00 120.00
Space group P6_3/mmc (No. 194)
Unique sites:
Li  0.0000  0.0000  0.0000 [2 per cell]
Y  0.3333  0.6667  0.0847 [4 per cell]
Pt  0.3333  0.6667  0.7500 [2 per cell]

***

Result of the stability comparison: #one is the most stable of them.